PuTePd PBE-GGA relaxed; total energy = -8.229 eV per atom; crystal system = orthorhombic
1.0
3.948 0.000 0.000
0.000 5.529 0.000
0.000 0.000 6.837
Pu Te Pd
2 2 2
Cartesian
1.974 4.147 4.871
1.974 1.382 1.966
0.000 1.382 4.568
0.000 4.147 2.269
0.000 0.000 0.000
0.000 2.765 0.000


PuTePd PBE-GGA relaxed; total energy = -8.299 eV per atom; crystal system = trigonal
1.0
3.958 0.000 0.000
0.000 4.594 0.000
0.000 -2.297 3.979
Te Pd Pu
1 1 1
Cartesian
0.711 0.000 2.652
0.589 0.000 0.000
2.658 2.297 1.326


PuTe2Pd2 PBE-GGA relaxed; energy relative to the lowest polymorph listed for this composition = 0 meV/atom; total energy = -6.834 eV per atom; crystal system = orthorhombic
1.0
-3.923 1.758 -0.813
-3.576 -4.540 7.442
2.636 9.006 6.760
Pu Te Pd
4 8 8
Cartesian
0.499 6.959 6.757
-3.206 2.794 3.856
-5.362 -0.734 6.633
-1.657 3.431 9.533
-4.536 3.257 11.281
-2.378 -0.202 5.154
-0.327 2.968 2.109
-2.485 6.427 8.236
-0.586 4.015 5.627
-3.579 0.754 1.245
-4.277 2.210 7.763
-1.283 5.471 12.145
-3.061 4.377 6.580
-0.979 0.820 0.614
-1.802 1.847 6.810
-3.884 5.404 12.776
0.533 5.627 3.713
-4.520 -0.249 3.617
-5.396 0.597 9.677
-0.343 6.473 9.772


> Look up the total energy of the third one.

-6.834 eV per atom